Entry 1
Material: LiNb2Rh2
Method: DFT, GGA-PBE
State: relaxed

Values from the calculation:
N(E_F) = 6.084 states/eV per cell
volume = 171.6 Å³/cell

Lattice parameters (Å, degrees): 7.7097 7.7097 2.8867 90.00 90.00 90.00
With the nearest neighbours (Å) after each atom.
Space group P4/mbm (No. 127)
One atom of each set of equivalent atoms:
Li1 0.0000 0.0000 0.0000 (multiplicity 2)  2 Li 2.89, 4 Rh 2.99
Nb1 0.1581 0.3419 0.5000 (multiplicity 4)  6 Rh 2.65-2.71, 2 Nb 2.89
Rh1 0.1383 0.6383 0.0000 (multiplicity 4)  6 Nb 2.65-2.71, 2 Rh 2.89

---

Entry 2
Material: LiNb2Rh2
Method: DFT, GGA-PBE
State: relaxed

Values from the calculation:
N(E_F) = 6.163 states/eV per cell
volume = 172.9 Å³/cell

Lattice parameters (Å, degrees): 7.8266 7.8266 2.8227 90.00 90.00 90.00
With the nearest neighbours (Å) after each atom.
Space group P4/mbm (No. 127)
One atom of each set of equivalent atoms:
Li1 0.0000 0.0000 0.0000 (multiplicity 2)  2 Li 2.82, 4 Nb 2.98
Nb1 0.1502 0.3498 0.0000 (multiplicity 4)  6 Rh 2.67-2.71, 2 Nb 2.82, 2 Li 2.98
Rh1 0.1451 0.6451 0.5000 (multiplicity 4)  6 Nb 2.67-2.71, 2 Rh 2.82

---

Most stable structure, least stable structure: entry 1, entry 2.